[1]
DFT (GGA-PBEsol) results for a relaxed Nb2Cd2H crystal.

Geometry as POSCAR:
```
Nb2Cd2H
1.0
-1.862 1.862 6.901
1.862 -1.862 6.901
1.862 1.862 -6.901
Nb Cd H
2 2 1
direct
0.081 0.081 0.000
0.919 0.919 0.000
0.250 0.750 0.500
0.750 0.250 0.500
0.500 0.500 0.000
```

Computed properties:
**V**: 95.7 Å³ per cell
**E_tot**: -4.321 eV/atom
**Symmetry**: I4/mmm (139)

[2]
DFT (GGA-PBEsol) results for a relaxed Al4OsPt crystal.

Geometry as POSCAR:
```
Al4OsPt
1.0
0.000 3.486 3.486
3.486 0.000 3.486
3.486 3.486 0.000
Al Os Pt
4 1 1
direct
0.125 0.125 0.125
0.125 0.125 0.625
0.125 0.625 0.125
0.625 0.125 0.125
0.500 0.500 0.500
0.750 0.750 0.750
```

Computed properties:
**V**: 84.7 Å³ per cell
**E_tot**: -5.897 eV/atom
**ΔE_f**: 0.03 eV/atom
**Symmetry**: F-43m (216)

[3]
DFT (GGA-PBEsol) results for a relaxed LiSiIr crystal.

Geometry as POSCAR:
```
LiSiIr
1.0
2.784 0.000 0.000
-1.392 2.411 0.000
0.000 0.000 6.207
Li Si Ir
1 1 1
direct
0.000 0.000 0.000
0.667 0.333 0.649
0.333 0.667 0.351
```

Computed properties:
**V**: 41.7 Å³ per cell
**E_tot**: -6.053 eV/atom
**Symmetry**: P3m1 (156)

[4]
DFT (GGA-PBEsol) results for a relaxed LiAsIr2 crystal.

Geometry as POSCAR:
```
LiAsIr2
1.0
4.091 0.000 0.000
0.000 1.385 4.918
0.000 -1.385 4.918
Li As Ir
1 1 2
direct
0.000 0.000 0.000
0.500 0.395 0.395
0.000 0.257 0.257
0.500 0.638 0.638
```

Computed properties:
**V**: 55.7 Å³ per cell
**E_tot**: -6.818 eV/atom
**ΔE_f**: -0.14 eV/atom
**Symmetry**: Amm2 (38)

Among the records above, which one has the lowest V? LiSiIr

Copy entry 2 word for word.
DFT (GGA-PBEsol) results for a relaxed Al4OsPt crystal.

Geometry as POSCAR:
```
Al4OsPt
1.0
0.000 3.486 3.486
3.486 0.000 3.486
3.486 3.486 0.000
Al Os Pt
4 1 1
direct
0.125 0.125 0.125
0.125 0.125 0.625
0.125 0.625 0.125
0.625 0.125 0.125
0.500 0.500 0.500
0.750 0.750 0.750
```

Computed properties:
**V**: 84.7 Å³ per cell
**E_tot**: -5.897 eV/atom
**ΔE_f**: 0.03 eV/atom
**Symmetry**: F-43m (216)